The following is a PBE calculation of crystalline MgNb3H at its relaxed geometry, from Alexandria via LeMat-Bulk.

For the density of states at the Fermi level, the calculation gives 8.7 states/eV/cell. Its energy above the most stable polymorph in this dataset is 2395 meV/atom.

It has space group Pm-3m (No. 221), with a = 4.787 Å, b = 4.787 Å, c = 4.787 Å, α = 90.00°, β = 90.00° and γ = 90.00°. The distinct sites, in fractional coordinates, are Mg at (0.000, 0.000, 0.000), Nb at (0.000, 0.000, 0.500) and H at (0.500, 0.500, 0.500).

=====

The following is a PBE calculation of crystalline Mg5Nb3H12 at its relaxed geometry, from Alexandria via LeMat-Bulk.

For the density of states at the Fermi level, the calculation gives 54.1 states/eV/cell. For the uncorrected energy, the calculation gives -0.1449 hartree per atom.

It has space group Ia-3d (No. 230), with a = 11.402 Å, b = 11.402 Å, c = 11.402 Å, α = 90.00°, β = 90.00° and γ = 90.00°. The distinct sites, in fractional coordinates, are Mg at (0.000, 0.000, 0.000), Mg at (0.000, 0.250, 0.375), Nb at (0.000, 0.250, 0.125) and H at (0.007, 0.076, 0.657).